# 1
DFT (GGA-PBEsol) results for an optimized crystal structure of Ca3CrO.

Geometry as CIF:
```
data_Ca3CrO
_cell_length_a 5.502
_cell_length_b 5.502
_cell_length_c 5.502
_cell_angle_alpha 90.00
_cell_angle_beta 90.00
_cell_angle_gamma 90.00
_space_group_name_H-M_alt 'P m -3 m'
_space_group_IT_number 221
_space_group_name_Hall '-P 4 2 3'
loop_
_atom_site_label
_atom_site_type_symbol
_atom_site_fract_x
_atom_site_fract_y
_atom_site_fract_z
_atom_site_occupancy
Ca1 Ca 0.000 0.000 0.500 1
Cr1 Cr 0.000 0.000 0.000 1
O1 O 0.500 0.500 0.500 1
```

Results
* calculated density: 1.88 g cm⁻³
* raw total energy: -17.61 eV/cell
* E_form (uncorrected): 0.8565 eV per atom

# 2
DFT (GGA-PBEsol) results for an optimized crystal structure of Li2HgAs.

Geometry as CIF:
```
data_Li2HgAs
_cell_length_a 2.840
_cell_length_b 3.796
_cell_length_c 6.250
_cell_angle_alpha 90.00
_cell_angle_beta 90.00
_cell_angle_gamma 90.00
_space_group_name_H-M_alt 'P m m m'
_space_group_IT_number 47
loop_
_space_group_symop_operation_xyz
'x,y,z'
'-x,-y,-z'
'-x,-y,z'
'x,y,-z'
'x,-y,-z'
'-x,y,z'
'-x,y,-z'
'x,-y,z'
loop_
_atom_site_label
_atom_site_type_symbol
_atom_site_fract_x
_atom_site_fract_y
_atom_site_fract_z
_atom_site_occupancy
Li1 Li 0.000 0.000 0.218 1
Hg1 Hg 0.500 0.500 0.500 1
As1 As 0.500 0.500 0.000 1
```

Results
* calculated density: 7.13 g cm⁻³
* raw total energy: -11.36 eV/cell
* energy of formation from the pure elements: -10.107 kcal/mol of atoms

# 3
DFT (GGA-PBEsol) results for an optimized crystal structure of LaBe2Zn.

Geometry as CIF:
```
data_LaBe2Zn
_cell_length_a 2.971
_cell_length_b 2.971
_cell_length_c 6.997
_cell_angle_alpha 90.00
_cell_angle_beta 90.00
_cell_angle_gamma 90.00
_space_group_name_H-M_alt 'P 4/m m m'
_space_group_IT_number 123
_space_group_name_Hall '-P 4 2'
loop_
_atom_site_label
_atom_site_type_symbol
_atom_site_fract_x
_atom_site_fract_y
_atom_site_fract_z
_atom_site_occupancy
La1 La 0.000 0.000 0.000 1
Be1 Be 0.500 0.500 0.324 1
Zn1 Zn 0.000 0.000 0.500 1
```

Results
* calculated density: 5.98 g cm⁻³
* raw total energy: -13.99 eV/cell
* energy above the most stable polymorph in this dataset: 63 meV per atom
* energy of formation from the pure elements: 5.389 kcal/mol of atoms

# 4
DFT (GGA-PBEsol) results for an optimized crystal structure of MgZn4Ru.

Geometry as CIF:
```
data_MgZn4Ru
_cell_length_a 6.961
_cell_length_b 6.961
_cell_length_c 6.961
_cell_angle_alpha 90.00
_cell_angle_beta 90.00
_cell_angle_gamma 90.00
_space_group_name_H-M_alt 'F -4 3 m'
_space_group_IT_number 216
_space_group_name_Hall 'F -4 2 3'
loop_
_atom_site_label
_atom_site_type_symbol
_atom_site_fract_x
_atom_site_fract_y
_atom_site_fract_z
_atom_site_occupancy
Mg1 Mg 0.000 0.000 0.000 1
Zn1 Zn 0.124 0.124 0.624 1
Ru1 Ru 0.250 0.250 0.250 1
```

Results
* calculated density: 7.62 g cm⁻³
* raw total energy: -73.80 eV/cell
* energy of formation from the pure elements: -0.896 kcal/mol of atoms

- Look up the calculated density of the second one.
  7.13 g cm⁻³